(1)
The following is a DFT calculation (GGA-PBE) of an optimized crystal structure of KTlIN2.

Output
* uncorrected formation energy: 6.97 eV per formula unit

```
KTlIN2
1.0
5.3104 0.0000 0.0000
0.0000 5.3104 0.0000
0.0000 0.0000 7.0291
I Tl K N
1 1 1 2
Direct
0.0000 0.0000 0.5000
0.5000 0.5000 0.5000
0.0000 0.0000 0.0000
0.0000 0.5000 0.0000
0.5000 0.0000 0.0000
```

(2)
The following is a DFT calculation (GGA-PBE) of an optimized crystal structure of PuPaBiPb.

Output
* energy of formation: -28 meV per atom

```
PuPaBiPb
1.0
-5.0633 -1.7360 -0.9647
-0.8777 -3.9261 -3.6601
-1.5354 -4.9531 1.6403
Pb Pa Bi Pu
1 1 1 1
Direct
0.7500 0.7500 0.7500
0.0000 0.0000 0.0000
0.2500 0.2500 0.2500
0.5000 0.5000 0.5000
```

(3)
The following is a DFT calculation (GGA-PBE) of an optimized crystal structure of PrY3Ho7.

Output
* energy of formation: 198 meV per atom

```
PrY3Ho7
1.0
8.6340 0.0000 0.0000
0.0000 7.0493 0.0000
0.0000 -3.5246 6.1048
Pr Y Ho
1 3 7
Direct
0.4441 0.3333 0.6667
0.7851 0.5007 0.4993
0.7851 0.5007 0.0014
0.7851 0.9986 0.4993
0.1176 0.1678 0.8322
0.1176 0.1678 0.3355
0.1207 0.6667 0.3333
0.4474 0.8320 0.1680
0.4474 0.3361 0.1680
0.4474 0.8320 0.6639
0.1176 0.6645 0.8322
```

(4)
The following is a DFT calculation (GGA-PBE) of an optimized crystal structure of Sm4Ho2Al.

Output
* energy of formation: -22 meV per atom

```
Sm4Ho2Al
1.0
-2.7682 -0.0434 2.3595
-0.5606 -2.9222 2.0926
10.2898 6.5005 14.9957
Sm Ho Al
4 2 1
Direct
0.7065 0.7065 0.8805
0.9071 0.9071 0.2788
0.2935 0.2935 0.1195
0.0929 0.0929 0.7212
0.8090 0.8090 0.5729
0.1910 0.1910 0.4271
0.0000 0.0000 0.0000
```